1.
Co2NiIr | PBE-GGA | optimized geometry

Cell: 2.572 2.572 8.463 Å, 90.00 90.00 116.94°
Atoms (fractional coordinates):
Co1 0.000 0.000 0.000
Co2 0.500 0.500 0.236
Ni1 0.500 0.500 0.761
Ir1 0.000 0.000 0.498

Summary:
Crystal system: orthorhombic
Magnetization (μB/atom): 1.2560
Energy of formation (eV/atom): 0.222
Fermi-level density of states (states/eV/f.u.): 6.631


2.
Co12NiIr2 | PBE-GGA | optimized geometry

Cell: 4.757 4.757 16.553 Å, 90.00 90.00 90.00°
Atoms (fractional coordinates):
Co1 0.049 0.549 0.112
Co2 0.049 0.951 0.888
Co3 0.078 0.578 0.562
Co4 0.078 0.922 0.438
Co5 0.250 0.250 0.208
Co6 0.250 0.250 0.343
Co7 0.250 0.250 0.657
Co8 0.250 0.250 0.792
Co9 0.422 0.578 0.438
Co10 0.422 0.922 0.562
Co11 0.451 0.549 0.888
Co12 0.451 0.951 0.112
Co13 0.549 0.049 0.888
Co14 0.549 0.451 0.112
Co15 0.578 0.078 0.438
Co16 0.578 0.422 0.562
Co17 0.750 0.750 0.208
Co18 0.750 0.750 0.343
Co19 0.750 0.750 0.657
Co20 0.750 0.750 0.792
Co21 0.922 0.078 0.562
Co22 0.922 0.422 0.438
Co23 0.951 0.049 0.112
Co24 0.951 0.451 0.888
Ni1 0.250 0.750 0.000
Ni2 0.750 0.250 0.000
Ir1 0.250 0.750 0.272
Ir2 0.250 0.750 0.728
Ir3 0.750 0.250 0.272
Ir4 0.750 0.250 0.728

Summary:
Crystal system: tetragonal
Magnetization (μB/atom): 1.4874
Energy of formation (eV/atom): 0.412
Fermi-level density of states (states/eV/f.u.): 20.050


3.
Co4Ni4Ir | PBE-GGA | optimized geometry

Cell: 5.633 5.633 5.633 Å, 95.82 95.82 142.87°
Atoms (fractional coordinates):
Co1 0.000 0.339 0.339
Co2 0.000 0.661 0.661
Co3 0.339 0.000 0.339
Co4 0.661 0.000 0.661
Ni1 0.330 0.330 0.660
Ni2 0.330 0.670 0.000
Ni3 0.670 0.330 0.000
Ni4 0.670 0.670 0.340
Ir1 0.000 0.000 0.000

Summary:
Crystal system: tetragonal
Magnetization (μB/atom): 1.0691
Energy of formation (eV/atom): 0.004
Fermi-level density of states (states/eV/f.u.): 11.198


4.
Co2NiIr | PBE-GGA | optimized geometry

Cell: 2.567 4.238 4.527 Å, 90.00 94.25 90.00°
Atoms (fractional coordinates):
Co1 0.181 0.000 0.258
Co2 0.819 0.000 0.742
Ni1 0.000 0.500 0.500
Ir1 0.500 0.500 0.000

Summary:
Crystal system: monoclinic
Magnetization (μB/atom): 1.2485
Energy of formation (eV/atom): 0.162
Fermi-level density of states (states/eV/f.u.): 5.298


5.
CoNi6Ir | PBE-GGA | optimized geometry

Cell: 4.552 4.552 4.552 Å, 93.53 93.53 93.53°
Atoms (fractional coordinates):
Co1 0.000 0.000 0.000
Ni1 0.020 0.472 0.751
Ni2 0.249 0.980 0.528
Ni3 0.472 0.751 0.020
Ni4 0.528 0.249 0.980
Ni5 0.751 0.020 0.472
Ni6 0.980 0.528 0.249
Ir1 0.500 0.500 0.500

Summary:
Crystal system: trigonal
Magnetization (μB/atom): 0.7584
Energy of formation (eV/atom): 0.113
Fermi-level density of states (states/eV/f.u.): 10.465


6.
CoNi2Ir6 | PBE-GGA | optimized geometry

Cell: 7.608 7.608 7.608 Å, 159.51 124.40 59.89°
Atoms (fractional coordinates):
Co1 0.000 0.000 0.000
Ni1 0.359 0.859 0.500
Ni2 0.641 0.141 0.500
Ir1 0.001 0.324 0.677
Ir2 0.316 0.500 0.816
Ir3 0.353 0.676 0.677
Ir4 0.647 0.324 0.323
Ir5 0.684 0.500 0.184
Ir6 0.999 0.676 0.323

Summary:
Crystal system: orthorhombic
Magnetization (μB/atom): 0.2923
Energy of formation (eV/atom): 0.196
Fermi-level density of states (states/eV/f.u.): 13.045


7.
CoNiIr4 | PBE-GGA | optimized geometry

Cell: 5.903 5.903 7.623 Å, 90.00 90.00 142.74°
Atoms (fractional coordinates):
Co1 0.166 0.834 0.500
Co2 0.834 0.166 0.000
Ni1 0.334 0.666 0.255
Ni2 0.666 0.334 0.755
Ir1 0.002 0.998 0.753
Ir2 0.171 0.829 0.005
Ir3 0.331 0.669 0.752
Ir4 0.496 0.504 0.003
Ir5 0.504 0.496 0.503
Ir6 0.669 0.331 0.252
Ir7 0.829 0.171 0.505
Ir8 0.998 0.002 0.253

Summary:
Crystal system: orthorhombic
Magnetization (μB/atom): 0.1733
Energy of formation (eV/atom): 0.034
Fermi-level density of states (states/eV/f.u.): 7.806


8.
CoNi2Ir | PBE-GGA | optimized geometry

Cell: 8.382 8.382 8.382 Å, 17.95 17.95 17.95°
Atoms (fractional coordinates):
Co1 0.000 0.000 0.000
Ni1 0.413 0.413 0.413
Ni2 0.586 0.586 0.586
Ir1 0.166 0.166 0.166

Summary:
Crystal system: trigonal
Magnetization (μB/atom): 0.9338
Energy of formation (eV/atom): 0.086
Fermi-level density of states (states/eV/f.u.): 7.001


9.
Co5Ni2Ir | PBE-GGA | optimized geometry

Cell: 6.067 6.067 6.067 Å, 139.48 139.48 58.64°
Atoms (fractional coordinates):
Co1 0.000 0.000 0.000
Co2 0.133 0.633 0.500
Co3 0.367 0.867 0.500
Co4 0.633 0.133 0.500
Co5 0.867 0.367 0.500
Ni1 0.248 0.248 0.000
Ni2 0.752 0.752 0.000
Ir1 0.500 0.500 0.000

Summary:
Crystal system: tetragonal
Magnetization (μB/atom): 1.3901
Energy of formation (eV/atom): 0.119
Fermi-level density of states (states/eV/f.u.): 8.492


10.
CoNi7Ir2 | PBE-GGA | optimized geometry

Cell: 6.931 6.931 3.766 Å, 90.00 90.00 125.02°
Atoms (fractional coordinates):
Co1 0.000 0.000 0.000
Ni1 0.085 0.282 0.500
Ni2 0.189 0.811 0.000
Ni3 0.282 0.085 0.500
Ni4 0.500 0.500 0.500
Ni5 0.718 0.915 0.500
Ni6 0.811 0.189 0.000
Ni7 0.915 0.718 0.500
Ir1 0.299 0.701 0.500
Ir2 0.701 0.299 0.500

Summary:
Crystal system: orthorhombic
Magnetization (μB/atom): 0.7722
Energy of formation (eV/atom): 0.628
Fermi-level density of states (states/eV/f.u.): 16.310


11.
CoNi2Ir | PBE-GGA | optimized geometry

Cell: 4.487 4.487 4.487 Å, 132.70 132.70 69.13°
Atoms (fractional coordinates):
Co1 0.000 0.000 0.000
Ni1 0.250 0.750 0.500
Ni2 0.750 0.250 0.500
Ir1 0.500 0.500 0.000

Summary:
Crystal system: tetragonal
Magnetization (μB/atom): 0.9234
Energy of formation (eV/atom): 0.040
Fermi-level density of states (states/eV/f.u.): 5.719


12.
Co6Ni3Ir | PBE-GGA | optimized geometry

Cell: 6.685 4.091 8.783 Å, 90.00 109.22 90.00°
Atoms (fractional coordinates):
Co1 0.004 0.250 0.416
Co2 0.198 0.250 0.218
Co3 0.203 0.750 0.384
Co4 0.203 0.750 0.889
Co5 0.404 0.250 0.021
Co6 0.405 0.750 0.681
Co7 0.595 0.250 0.319
Co8 0.596 0.750 0.979
Co9 0.797 0.250 0.111
Co10 0.797 0.250 0.616
Co11 0.802 0.750 0.782
Co12 0.996 0.750 0.584
Ni1 0.001 0.750 0.080
Ni2 0.394 0.750 0.183
Ni3 0.402 0.250 0.515
Ni4 0.598 0.750 0.485
Ni5 0.606 0.250 0.817
Ni6 0.999 0.250 0.920
Ir1 0.202 0.250 0.718
Ir2 0.798 0.750 0.282

Summary:
Crystal system: monoclinic
Magnetization (μB/atom): 1.2621
Energy of formation (eV/atom): -0.007
Fermi-level density of states (states/eV/f.u.): 8.193


13.
CoNiIr | PBE-GGA | optimized geometry

Cell: 4.081 4.081 2.576 Å, 90.00 90.00 120.00°
Atoms (fractional coordinates):
Co1 0.000 0.000 0.000
Ni1 0.333 0.667 0.000
Ir1 0.667 0.333 0.500

Summary:
Crystal system: hexagonal
Magnetization (μB/atom): 1.0236
Energy of formation (eV/atom): 0.091
Fermi-level density of states (states/eV/f.u.): 4.020


14.
Co3NiIr2 | PBE-GGA | optimized geometry

Cell: 7.764 7.764 7.764 Å, 119.85 119.85 90.26°
Atoms (fractional coordinates):
Co1 0.000 0.000 0.000
Co2 0.000 0.000 0.500
Co3 0.000 0.500 0.000
Co4 0.165 0.415 0.331
Co5 0.165 0.835 0.750
Co6 0.415 0.165 0.831
Co7 0.415 0.585 0.250
Co8 0.500 0.000 0.500
Co9 0.585 0.415 0.750
Co10 0.585 0.835 0.169
Co11 0.835 0.165 0.250
Co12 0.835 0.585 0.669
Ni1 0.168 0.418 0.750
Ni2 0.418 0.168 0.250
Ni3 0.582 0.832 0.750
Ni4 0.832 0.582 0.250
Ir1 0.157 0.220 0.938
Ir2 0.218 0.780 0.438
Ir3 0.220 0.157 0.438
Ir4 0.220 0.782 0.062
Ir5 0.780 0.218 0.938
Ir6 0.780 0.843 0.562
Ir7 0.782 0.220 0.562
Ir8 0.843 0.780 0.062

Summary:
Crystal system: tetragonal
Magnetization (μB/atom): 1.2080
Energy of formation (eV/atom): 0.361
Fermi-level density of states (states/eV/f.u.): 8.640


15.
Co3Ni4Ir12 | PBE-GGA | optimized geometry

Cell: 7.811 7.811 7.811 Å, 109.47 109.47 109.47°
Atoms (fractional coordinates):
Co1 0.000 0.500 0.500
Co2 0.500 0.000 0.500
Co3 0.500 0.500 0.000
Ni1 0.000 0.000 0.500
Ni2 0.000 0.500 0.000
Ni3 0.500 0.000 0.000
Ni4 0.500 0.500 0.500
Ir1 0.091 0.730 0.361
Ir2 0.270 0.361 0.631
Ir3 0.270 0.639 0.909
Ir4 0.361 0.091 0.730
Ir5 0.361 0.631 0.270
Ir6 0.369 0.730 0.639
Ir7 0.631 0.270 0.361
Ir8 0.639 0.369 0.730
Ir9 0.639 0.909 0.270
Ir10 0.730 0.361 0.091
Ir11 0.730 0.639 0.369
Ir12 0.909 0.270 0.639

Summary:
Crystal system: cubic
Magnetization (μB/atom): 0.2773
Energy of formation (eV/atom): 0.674
Fermi-level density of states (states/eV/f.u.): 26.533


16.
Co2Ni2Ir | PBE-GGA | optimized geometry

Cell: 6.745 6.745 2.618 Å, 90.00 90.00 90.00°
Atoms (fractional coordinates):
Co1 0.174 0.326 0.000
Co2 0.326 0.826 0.000
Co3 0.674 0.174 0.000
Co4 0.826 0.674 0.000
Ni1 0.124 0.624 0.500
Ni2 0.376 0.124 0.500
Ni3 0.624 0.876 0.500
Ni4 0.876 0.376 0.500
Ir1 0.000 0.000 0.500
Ir2 0.500 0.500 0.500

Summary:
Crystal system: tetragonal
Magnetization (μB/atom): 1.1329
Energy of formation (eV/atom): 0.181
Fermi-level density of states (states/eV/f.u.): 6.608


17.
Co3Ni6Ir | PBE-GGA | optimized geometry

Cell: 8.865 10.362 2.556 Å, 90.00 90.00 90.00°
Atoms (fractional coordinates):
Co1 0.000 0.000 0.000
Co2 0.127 0.291 0.500
Co3 0.373 0.791 0.000
Co4 0.500 0.500 0.500
Co5 0.627 0.209 0.000
Co6 0.873 0.709 0.500
Ni1 0.085 0.771 0.000
Ni2 0.218 0.934 0.500
Ni3 0.239 0.624 0.500
Ni4 0.261 0.124 0.000
Ni5 0.282 0.434 0.000
Ni6 0.415 0.271 0.500
Ni7 0.585 0.729 0.500
Ni8 0.718 0.566 0.000
Ni9 0.739 0.876 0.000
Ni10 0.761 0.376 0.500
Ni11 0.782 0.066 0.500
Ni12 0.915 0.229 0.000
Ir1 0.000 0.500 0.000
Ir2 0.500 0.000 0.500

Summary:
Crystal system: orthorhombic
Magnetization (μB/atom): 0.9582
Energy of formation (eV/atom): 0.209
Fermi-level density of states (states/eV/f.u.): 13.675


18.
Co4Ni4Ir | PBE-GGA | optimized geometry

Cell: 5.653 5.653 5.625 Å, 107.42 107.42 36.97°
Atoms (fractional coordinates):
Co1 0.170 0.170 0.499
Co2 0.275 0.275 0.165
Co3 0.725 0.725 0.835
Co4 0.830 0.830 0.501
Ni1 0.058 0.058 0.839
Ni2 0.386 0.386 0.834
Ni3 0.614 0.614 0.166
Ni4 0.942 0.942 0.161
Ir1 0.500 0.500 0.500

Summary:
Crystal system: monoclinic
Magnetization (μB/atom): 1.1135
Energy of formation (eV/atom): 0.008
Fermi-level density of states (states/eV/f.u.): 10.809


19.
Co2Ni5Ir | PBE-GGA | optimized geometry

Cell: 6.236 6.236 6.236 Å, 156.74 102.87 81.87°
Atoms (fractional coordinates):
Co1 0.244 0.244 0.000
Co2 0.756 0.756 0.000
Ni1 0.141 0.869 0.271
Ni2 0.402 0.131 0.271
Ni3 0.500 0.500 0.000
Ni4 0.598 0.869 0.729
Ni5 0.859 0.131 0.729
Ir1 0.000 0.500 0.500

Summary:
Crystal system: orthorhombic
Magnetization (μB/atom): 0.8907
Energy of formation (eV/atom): 0.068
Fermi-level density of states (states/eV/f.u.): 11.042


20.
CoNiIr | PBE-GGA | optimized geometry

Cell: 3.870 3.870 3.870 Å, 60.00 60.00 60.00°
Atoms (fractional coordinates):
Co1 0.000 0.000 0.000
Ni1 0.750 0.750 0.750
Ir1 0.250 0.250 0.250

Summary:
Crystal system: cubic
Magnetization (μB/atom): 0.0003
Energy of formation (eV/atom): 0.459
Fermi-level density of states (states/eV/f.u.): 3.065